LaTc2Os: optimized geometry, GGA-PBE.

Geometry as POSCAR:
```
LaTc2Os
1.0
2.8688 0.0000 0.0000
-1.4344 2.4844 0.0000
0.0000 0.0000 29.5960
La Tc Os
3 6 3
direct
0.0000 0.0000 0.0000
0.3333 0.6667 0.6667
0.6667 0.3333 0.3333
0.0000 0.0000 0.2375
0.0000 0.0000 0.7625
0.3333 0.6667 0.4292
0.3333 0.6667 0.9041
0.6667 0.3333 0.0959
0.6667 0.3333 0.5708
0.0000 0.0000 0.5000
0.3333 0.6667 0.1667
0.6667 0.3333 0.8333
```

**Electronic total energy**: -0.6348 Ry/atom
**Theoretical density**: 12.40 g/cm3